Crystalline KHgPbAu2 at its relaxed geometry. Source: Alexandria via LeMat-Bulk, functional PBE.

It has space group P4/mmm (No. 123), with a = 5.6441 Å, b = 5.6441 Å, c = 5.6952 Å, α = 90.00°, β = 90.00° and γ = 90.00°. Symmetry generates all atoms from K at (0.0000, 0.0000, 0.0000), Hg at (0.5000, 0.5000, 0.0000), Pb at (0.5000, 0.5000, 0.5000) and Au at (0.0000, 0.5000, 0.5000).

The calculation puts the density of states at the Fermi level at 0.58 states/eV/cell. The energy relative to the lowest polymorph listed for this composition comes out at 0.842 eV/f.u. For the energy relative to the elements, the calculation gives 0.0 eV per formula unit.